KBeTlF4 after structural relaxation. Source: Alexandria, functional PBE-GGA.

a = 5.6364 Å, b = 5.8150 Å, c = 7.8817 Å
α = 90.00°, β = 108.19°, γ = 90.00°
Sites, in units of the cell vectors:
Be: 0.2010 0.7500 0.2837
Be: 0.7990 0.2500 0.7163
F: 0.5919 0.2500 0.8092
F: 0.0288 0.5318 0.2277
F: 0.3154 0.7500 0.4923
F: 0.9712 0.4682 0.7723
F: 0.6846 0.2500 0.5077
F: 0.9712 0.0318 0.7723
F: 0.0288 0.9682 0.2277
F: 0.4081 0.7500 0.1908
Tl: 0.3131 0.2500 0.0673
Tl: 0.6869 0.7500 0.9327
K: 0.2023 0.2500 0.5175
K: 0.7977 0.7500 0.4825

SG	P2_1/m (11)
ρ	4.445	Mg/m³
ΔE_f (raw)	-2.766	eV per atom
DOS(E_F)	0.00	states/eV/cell